(1)
NaH3C2O5 | PBE | optimized geometry

Its total energy is -6.20 eV per atom. The total moment is 0.0 μB per formula unit. The density of states at the Fermi level comes out at 0.00 states/eV per atom.

a = 5.7210 Å, b = 6.6872 Å, c = 6.6847 Å
α = 104.05°, β = 85.52°, γ = 108.84°
Element x y z (fractional)
Na 0.7562 0.7563 0.9717
Na 0.2438 0.2437 0.0283
H 0.2301 0.8098 0.7681
H 0.7699 0.1902 0.2319
H 0.2524 0.7840 0.9955
H 0.7476 0.2160 0.0045
H 0.9856 0.7451 0.3936
H 0.0144 0.2549 0.6064
C 0.6366 0.7377 0.4570
C 0.3634 0.2623 0.5430
C 0.3926 0.7207 0.3540
C 0.6074 0.2793 0.6460
O 0.6461 0.7474 0.6423
O 0.3539 0.2526 0.3577
O 0.8207 0.7366 0.3251
O 0.1793 0.2634 0.6749
O 0.3792 0.6657 0.1598
O 0.6208 0.3343 0.8402
O 0.2262 0.7621 0.4791
O 0.7738 0.2379 0.5209
O 0.1816 0.8545 0.9130
O 0.8184 0.1455 0.0870

***

(2)
Na2HC2O4 | PBE | optimized geometry

Its total energy is -5.98 eV per atom. The total moment is 1.0 μB per formula unit. The density of states at the Fermi level comes out at 0.00 states/eV per atom.

a = 3.3891 Å, b = 8.2371 Å, c = 8.2641 Å
α = 90.00°, β = 90.00°, γ = 90.00°
Last column: magnetic moment on the atom in μB.
Element x y z (fractional)
Na 0.6076 0.2900 0.2582  0.00
Na 0.6076 0.7100 0.7418  0.00
Na 0.3924 0.2100 0.7582  0.00
Na 0.3924 0.7900 0.2418  0.00
H 0.2651 0.0000 0.5000  0.38
H 0.7349 0.5000 0.0000  0.38
C 0.0121 0.0607 0.0708  0.00
C 0.0121 0.9393 0.9292  0.00
C 0.9879 0.4393 0.5708  0.00
C 0.9879 0.5607 0.4292  0.00
O 0.1515 0.7985 0.9556  0.01
O 0.1515 0.2015 0.0444  0.01
O 0.8485 0.7015 0.4556  0.01
O 0.8485 0.2985 0.5444  0.01
O 0.8688 0.0111 0.2045  0.01
O 0.8688 0.9889 0.7955  0.01
O 0.1312 0.4889 0.7045  0.01
O 0.1312 0.5111 0.2955  0.01

***

(3)
Rb2NaH5C2O8 | PBE | optimized geometry

Its total energy is -5.79 eV per atom. The total moment is 0.0 μB per formula unit. The density of states at the Fermi level comes out at 0.00 states/eV per atom.

a = 8.2096 Å, b = 9.5845 Å, c = 12.1415 Å
α = 90.00°, β = 90.00°, γ = 90.00°
Element x y z (fractional)
Rb 0.5113 0.2252 0.1066
Rb 0.0113 0.7748 0.8934
Rb 0.9887 0.7252 0.3934
Rb 0.4887 0.2748 0.6066
Rb 0.4887 0.7748 0.8934
Rb 0.9887 0.2252 0.1066
Rb 0.0113 0.2748 0.6066
Rb 0.5113 0.7252 0.3934
Na 0.2500 0.0645 0.3160
Na 0.7500 0.9355 0.6840
Na 0.2500 0.5645 0.1840
Na 0.7500 0.4355 0.8160
H 0.2500 0.5029 0.4698
H 0.7500 0.4971 0.5302
H 0.2500 0.0029 0.0302
H 0.7500 0.9971 0.9698
H 0.1115 0.3732 0.8642
H 0.6115 0.6268 0.1358
H 0.3885 0.8732 0.6358
H 0.8885 0.1268 0.3642
H 0.8885 0.6268 0.1358
H 0.3885 0.3732 0.8642
H 0.6115 0.1268 0.3642
H 0.1115 0.8732 0.6358
H 0.1175 0.5091 0.7918
H 0.6175 0.4909 0.2082
H 0.3825 0.0091 0.7082
H 0.8825 0.9909 0.2918
H 0.8825 0.4909 0.2082
H 0.3825 0.5091 0.7918
H 0.6175 0.9909 0.2918
H 0.1175 0.0091 0.7082
C 0.2500 0.3525 0.3534
C 0.7500 0.6475 0.6466
C 0.2500 0.8525 0.1466
C 0.7500 0.1475 0.8534
C 0.2500 0.6335 0.6333
C 0.7500 0.3665 0.3667
C 0.2500 0.1335 0.8667
C 0.7500 0.8665 0.1333
O 0.2500 0.2624 0.4303
O 0.7500 0.7376 0.5697
O 0.2500 0.7624 0.0697
O 0.7500 0.2376 0.9303
O 0.2500 0.3249 0.2504
O 0.7500 0.6751 0.7496
O 0.2500 0.8249 0.2496
O 0.7500 0.1751 0.7504
O 0.2500 0.4908 0.3806
O 0.7500 0.5092 0.6194
O 0.2500 0.9908 0.1194
O 0.7500 0.0092 0.8806
O 0.2500 0.5119 0.5846
O 0.7500 0.4881 0.4154
O 0.2500 0.0119 0.9154
O 0.7500 0.9881 0.0846
O 0.2500 0.7477 0.5754
O 0.7500 0.2523 0.4246
O 0.2500 0.2477 0.9246
O 0.7500 0.7523 0.0754
O 0.2500 0.6373 0.7405
O 0.7500 0.3627 0.2595
O 0.2500 0.1373 0.7595
O 0.7500 0.8627 0.2405
O 0.0401 0.4450 0.8300
O 0.5401 0.5550 0.1700
O 0.4599 0.9450 0.6700
O 0.9599 0.0550 0.3300
O 0.9599 0.5550 0.1700
O 0.4599 0.4450 0.8300
O 0.5401 0.0550 0.3300
O 0.0401 0.9450 0.6700

***

(4)
Na5ScH4C4O14 | PBE | optimized geometry

Its total energy is -6.47 eV per atom. The total moment is 0.0 μB per formula unit. The density of states at the Fermi level comes out at 0.00 states/eV per atom.

a = 7.5713 Å, b = 7.5713 Å, c = 11.6200 Å
α = 90.00°, β = 90.00°, γ = 90.00°
Element x y z (fractional)
Na 0.6796 0.8198 0.7099
Na 0.3204 0.1802 0.7099
Na 0.6802 0.8204 0.2099
Na 0.1802 0.6796 0.2901
Na 0.8198 0.3204 0.2901
Na 0.8204 0.3198 0.7901
Na 0.1796 0.6802 0.7901
Na 0.3198 0.1796 0.2099
Na 0.0000 0.0000 0.5000
Na 0.5000 0.5000 0.0000
Sc 0.5000 0.5000 0.5000
Sc 0.0000 0.0000 0.0000
H 0.9145 0.5599 0.6147
H 0.0855 0.4401 0.6147
H 0.9401 0.5855 0.1147
H 0.4401 0.9145 0.3853
H 0.5599 0.0855 0.3853
H 0.5855 0.0599 0.8853
H 0.4145 0.9401 0.8853
H 0.0599 0.4145 0.1147
C 0.8255 0.7182 0.9237
C 0.1745 0.2818 0.9237
C 0.7818 0.6745 0.4237
C 0.2818 0.8255 0.0763
C 0.3255 0.7818 0.5763
C 0.2182 0.3255 0.4237
C 0.7182 0.1745 0.0763
C 0.6745 0.2182 0.5763
O 0.6556 0.2530 0.4655
O 0.8444 0.7530 0.0345
O 0.2530 0.3444 0.5345
O 0.7470 0.6556 0.5345
O 0.3291 0.4077 0.3552
O 0.3444 0.7470 0.4655
O 0.5923 0.3291 0.6448
O 0.8291 0.0923 0.1448
O 0.1709 0.9077 0.1448
O 0.6709 0.5923 0.3552
O 0.0923 0.1709 0.8552
O 0.9077 0.8291 0.8552
O 0.0902 0.2344 0.3859
O 0.2344 0.9098 0.6141
O 0.7656 0.0902 0.6141
O 0.5902 0.2656 0.1141
O 0.4098 0.7344 0.1141
O 0.9098 0.7656 0.3859
O 0.2656 0.4098 0.8859
O 0.7344 0.5902 0.8859
O 0.0000 0.5000 0.1667
O 0.5000 0.0000 0.8333
O 0.5000 0.0000 0.3333
O 0.0000 0.5000 0.6667
O 0.2470 0.8444 0.9655
O 0.1556 0.2470 0.0345
O 0.4077 0.6709 0.6448
O 0.7530 0.1556 0.9655

***

(5)
Na3YH12C3O15 | PBE | optimized geometry

Its total energy is -5.98 eV per atom. The total moment is 0.0 μB per formula unit. The density of states at the Fermi level comes out at 0.00 states/eV per atom.

a = 5.8880 Å, b = 11.5400 Å, c = 11.5400 Å
α = 120.00°, β = 90.00°, γ = 90.00°
Element x y z (fractional)
Na 0.3219 0.3622 0.3692
Na 0.3219 0.6308 0.9930
Na 0.3219 0.0070 0.6378
Na 0.8219 0.6378 0.6308
Na 0.8219 0.9930 0.3622
Na 0.8219 0.3692 0.0070
Y 0.5916 0.3333 0.6667
Y 0.0916 0.6667 0.3333
H 0.3541 0.2979 0.8782
H 0.5617 0.0071 0.8707
H 0.9560 0.7677 0.8992
H 0.3541 0.5803 0.7021
H 0.8541 0.4197 0.2979
H 0.3541 0.1218 0.4197
H 0.8541 0.8782 0.5803
H 0.1493 0.2698 0.7749
H 0.1493 0.5051 0.7302
H 0.0617 0.8707 0.8636
H 0.4560 0.2323 0.1008
H 0.8541 0.7021 0.1218
H 0.5617 0.1293 0.1364
H 0.6493 0.7302 0.2251
H 0.0617 0.1364 0.0071
H 0.5617 0.8636 0.9929
H 0.9560 0.1315 0.2323
H 0.1493 0.2251 0.4949
H 0.6493 0.7749 0.5051
H 0.4560 0.8685 0.7677
H 0.0617 0.9929 0.1293
H 0.6493 0.4949 0.2698
H 0.9560 0.1008 0.8685
H 0.4560 0.8992 0.1315
C 0.8183 0.5600 0.8804
C 0.8183 0.3204 0.4400
C 0.3183 0.4400 0.1196
C 0.8183 0.1196 0.6796
C 0.3183 0.8804 0.3204
C 0.3183 0.6796 0.5600
O 0.9282 0.3079 0.3378
O 0.3190 0.5110 0.7291
O 0.1591 0.4988 0.0905
O 0.1591 0.5917 0.5012
O 0.3190 0.2181 0.4890
O 0.8642 0.2419 0.4894
O 0.1591 0.9095 0.4083
O 0.8190 0.7819 0.5110
O 0.4284 0.8479 0.0333
O 0.4282 0.3378 0.0300
O 0.3642 0.7526 0.2419
O 0.8190 0.4890 0.2709
O 0.4282 0.9700 0.3079
O 0.9282 0.6622 0.9700
O 0.8642 0.5107 0.7526
O 0.6591 0.0905 0.5917
O 0.4284 0.1854 0.1521
O 0.9284 0.0333 0.1854
O 0.8642 0.2474 0.7581
O 0.3642 0.4894 0.2474
O 0.9282 0.0300 0.6921
O 0.3190 0.2709 0.7819
O 0.3642 0.7581 0.5107
O 0.6591 0.4083 0.4988
O 0.6591 0.5012 0.9095
O 0.8190 0.7291 0.2181
O 0.9284 0.8146 0.8479
O 0.9284 0.1521 0.9667
O 0.4284 0.9667 0.8146
O 0.4282 0.6921 0.6622

***

(6)
NaYH8C4O12 | PBE | optimized geometry

Its total energy is -6.46 eV per atom. The total moment is 0.0 μB per formula unit. The density of states at the Fermi level comes out at 0.00 states/eV per atom.

a = 8.7297 Å, b = 8.7349 Å, c = 14.9498 Å
α = 103.52°, β = 90.00°, γ = 90.00°
Element x y z (fractional)
Na 0.3084 0.9918 0.5197
Na 0.6916 0.9918 0.0197
Na 0.6215 0.3038 0.5192
Na 0.3785 0.3038 0.0192
Y 0.5976 0.6681 0.7347
Y 0.4024 0.6681 0.2347
Y 0.0963 0.2001 0.8038
Y 0.9037 0.2001 0.3038
H 0.9575 0.3534 0.5098
H 0.0425 0.3534 0.0098
H 0.9438 0.1669 0.4986
H 0.0562 0.1669 0.9986
H 0.6730 0.6465 0.5290
H 0.3270 0.6465 0.0290
H 0.4910 0.6360 0.5404
H 0.5090 0.6360 0.0404
H 0.2724 0.2322 0.4441
H 0.7276 0.2322 0.9441
H 0.3041 0.3560 0.5377
H 0.6959 0.3560 0.0377
H 0.9601 0.8935 0.4901
H 0.0399 0.8935 0.9901
H 0.0098 0.9784 0.5886
H 0.9902 0.9784 0.0886
H 0.2219 0.6558 0.5506
H 0.7781 0.6558 0.0506
H 0.2686 0.6680 0.4526
H 0.7314 0.6680 0.9526
H 0.6693 0.9744 0.5015
H 0.3307 0.9744 0.0015
H 0.5806 0.9851 0.5945
H 0.4194 0.9851 0.0945
H 0.0893 0.4811 0.6313
H 0.9107 0.4811 0.1313
H 0.9738 0.6111 0.6135
H 0.0262 0.6111 0.1135
H 0.7572 0.7279 0.4050
H 0.2428 0.7279 0.9050
H 0.8924 0.6218 0.4277
H 0.1076 0.6218 0.9277
C 0.8248 0.3750 0.7234
C 0.1752 0.3750 0.2234
C 0.8719 0.4922 0.8147
C 0.1281 0.4922 0.3147
C 0.3786 0.9643 0.7233
C 0.6214 0.9643 0.2233
C 0.3220 0.9136 0.8098
C 0.6780 0.9136 0.3098
C 0.8879 0.8901 0.7279
C 0.1121 0.8901 0.2279
C 0.8025 0.9775 0.8159
C 0.1975 0.9775 0.3159
C 0.3126 0.4353 0.7234
C 0.6874 0.4353 0.2234
C 0.3919 0.4237 0.8146
C 0.6081 0.4237 0.3146
O 0.9035 0.2574 0.4754
O 0.0965 0.2574 0.9754
O 0.5912 0.6051 0.5632
O 0.4088 0.6051 0.0632
O 0.3431 0.2597 0.4971
O 0.6569 0.2597 0.9971
O 0.0199 0.9850 0.5237
O 0.9801 0.9850 0.0237
O 0.3003 0.7033 0.5178
O 0.6997 0.7033 0.0178
O 0.5882 0.0316 0.5403
O 0.4118 0.0316 0.0403
O 0.0493 0.5315 0.5830
O 0.9507 0.5315 0.0830
O 0.8225 0.7090 0.4556
O 0.1775 0.7090 0.9556
O 0.7209 0.4213 0.6763
O 0.2791 0.4213 0.1763
O 0.8944 0.2456 0.7032
O 0.1056 0.2456 0.2032
O 0.7989 0.6205 0.8365
O 0.2011 0.6205 0.3365
O 0.0192 0.4522 0.3606
O 0.9808 0.4522 0.8606
O 0.3040 0.0710 0.6981
O 0.6960 0.0710 0.1981
O 0.4957 0.8930 0.6831
O 0.5043 0.8930 0.1831
O 0.2232 0.9992 0.8597
O 0.7768 0.9992 0.3597
O 0.3774 0.7877 0.8252
O 0.6226 0.7877 0.3252
O 0.8317 0.7610 0.6827
O 0.1683 0.7610 0.1827
O 0.0089 0.9533 0.7068
O 0.9911 0.9533 0.2068
O 0.6863 0.9122 0.8411
O 0.3137 0.9122 0.3411
O 0.8577 0.1099 0.8571
O 0.1423 0.1099 0.3571
O 0.1819 0.3719 0.7064
O 0.8181 0.3719 0.2064
O 0.3818 0.5098 0.6725
O 0.6182 0.5098 0.1725
O 0.3264 0.3381 0.8612
O 0.6736 0.3381 0.3612
O 0.5125 0.5028 0.8351
O 0.4875 0.5028 0.3351

***

(7)
Nb2HCS | PBE | optimized geometry

Its total energy is -6.47 eV per atom. The total moment is 0.0 μB per formula unit. The density of states at the Fermi level comes out at 0.92 states/eV per atom.

a = 4.6350 Å, b = 2.9868 Å, c = 4.6350 Å
α = 90.00°, β = 90.00°, γ = 90.00°
Element x y z (fractional)
C 0.5000 0.5000 0.5000
H 0.0000 0.5000 0.0000
Nb 0.0000 0.0000 0.5000
Nb 0.5000 0.0000 0.0000
S 0.0000 0.0000 0.0000

***

(8)
Nd6HC2O3 | PBE | optimized geometry

Its total energy is -6.98 eV per atom. The total moment is 0.0 μB per formula unit. The density of states at the Fermi level comes out at 0.25 states/eV per atom.

a = 6.3825 Å, b = 6.3825 Å, c = 6.3391 Å
α = 99.69°, β = 99.69°, γ = 120.03°
Element x y z (fractional)
Nd 0.9154 0.5651 0.7470
Nd 0.7334 0.7334 0.2578
Nd 0.0846 0.4349 0.2530
Nd 0.5651 0.9154 0.7470
Nd 0.2666 0.2666 0.7422
Nd 0.4349 0.0846 0.2530
H 0.0000 0.0000 0.0000
C 0.3344 0.6656 0.0000
C 0.6656 0.3344 0.0000
O 0.1737 0.8263 0.5000
O 0.8263 0.1737 0.5000
O 0.5000 0.5000 0.5000

***

Question: Look up the total moment of the first one.
Answer: 0.0 μB per formula unit

***

Question: Among the records above, which one has the highest total moment?
Answer: Na2HC2O4